(1)
# KNaW3

Crystalline KNaW3 at its relaxed geometry (PBE, the Alexandria database).

Output
DFT formation energy: 3725.6 meV per atom
Polymorph energy (0 for the lowest one): 1.44 eV per formula unit

Cell: 4.648 4.648 4.648 Å, 90.00 90.00 90.00°
Space group Pm-3m (No. 221)
One atom of each set of equivalent atoms:
K: 0.000 0.000 0.000 [1 per cell]
Na: 0.500 0.500 0.500 [1 per cell]
W: 0.000 0.000 0.500 [3 per cell]

(2)
# BaZrIn2

Crystalline BaZrIn2 at its relaxed geometry (PBE, the Alexandria database).

Output
DFT formation energy: -43.8 meV per atom
Polymorph energy (0 for the lowest one): 0.81 eV per formula unit

Cell: 9.720 3.559 7.467 Å, 90.00 98.57 90.00°
Space group C2/m (No. 12)
One atom of each set of equivalent atoms:
Ba: 0.000 0.000 0.000 [2 per cell]
Zr: 0.000 0.500 0.500 [2 per cell]
In: 0.242 0.000 0.683 [4 per cell]

Copy entry 2 word for word.
# BaZrIn2

Crystalline BaZrIn2 at its relaxed geometry (PBE, the Alexandria database).

Output
DFT formation energy: -43.8 meV per atom
Polymorph energy (0 for the lowest one): 0.81 eV per formula unit

Cell: 9.720 3.559 7.467 Å, 90.00 98.57 90.00°
Space group C2/m (No. 12)
One atom of each set of equivalent atoms:
Ba: 0.000 0.000 0.000 [2 per cell]
Zr: 0.000 0.500 0.500 [2 per cell]
In: 0.242 0.000 0.683 [4 per cell]